First-principles (PBE) data for a relaxed structure of PtRh2Br, as listed in the Alexandria database.

Unit cell a=2.839 b=4.681 c=4.876 alpha=90.00 beta=90.00 gamma=90.00
Positions (direct):
1 Pt 0.000 0.000 0.000
2 Rh 0.000 0.500 0.500
3 Rh 0.500 0.500 0.000
4 Br 0.500 0.000 0.500

- uncorrected formation energy (kJ per mole of atoms) = 61
- V (Å³ per cell) = 65
- total energy (eV per cell) = -19.9
- D(E_F) (states/eV/f.u.) = 5.17
- energy above the most stable polymorph in this dataset (eV per atom) = 0.335
- calculated density (kg/m³) = 12320